No. 1
The following is a PBE calculation of crystalline Ac3TlP2Pt6 at its relaxed geometry, from the Alexandria database.

Cell and atoms, written as POSCAR:
```
Ac3TlP2Pt6
1.0
6.671 0.000 0.000
-3.335 5.777 0.000
0.000 0.000 7.646
Ac Tl P Pt
3 1 2 6
Direct
0.000 0.000 0.000
0.333 0.667 0.660
0.667 0.333 0.340
0.000 0.000 0.500
0.333 0.667 0.079
0.667 0.333 0.921
0.189 0.378 0.288
0.189 0.811 0.288
0.378 0.189 0.712
0.622 0.811 0.288
0.811 0.189 0.712
0.811 0.622 0.712
```

Summary:
ΔH_f (0 K), eV per formula unit: -9.30

=====

No. 2
The following is a PBE calculation of crystalline SrY4TmSe8 at its relaxed geometry, from the Alexandria database.

Cell and atoms, written as POSCAR:
```
SrY4TmSe8
1.0
4.265 2.463 6.934
-4.265 2.463 6.934
0.000 -4.925 6.934
Sr Y Tm Se
1 4 1 8
Direct
0.000 0.000 0.000
0.374 0.374 0.881
0.374 0.881 0.374
0.751 0.751 0.751
0.881 0.374 0.374
0.374 0.374 0.374
0.139 0.139 0.139
0.142 0.142 0.584
0.142 0.584 0.142
0.150 0.615 0.615
0.584 0.142 0.142
0.615 0.150 0.615
0.615 0.615 0.150
0.618 0.618 0.618
```

Summary:
Energy relative to the elements, uncorrected, eV/atom: -1.800

=====

No. 3
The following is a PBE calculation of crystalline KLiCu at its relaxed geometry, from the Alexandria database.

Cell and atoms, written as POSCAR:
```
KLiCu
1.0
4.476 0.000 0.000
-2.238 3.877 0.000
0.000 0.000 5.096
K Li Cu
1 1 1
Direct
0.000 0.000 0.000
0.667 0.333 0.500
0.333 0.667 0.498
```

Summary:
Polymorph energy (0 for the lowest one), meV per atom: 33
ΔH_f (0 K), eV per formula unit: 0.90

=====

No. 4
The following is a PBE calculation of crystalline DyPu2Np3P6 at its relaxed geometry, from the Alexandria database.

Cell and atoms, written as POSCAR:
```
DyPu2Np3P6
1.0
3.436 -5.952 0.000
3.436 5.952 0.000
-2.291 0.000 6.497
Dy Pu Np P
1 2 3 6
Direct
0.000 0.000 0.000
0.333 0.667 0.000
0.667 0.333 0.000
0.166 0.834 0.500
0.500 0.500 0.500
0.834 0.166 0.500
0.085 0.420 0.255
0.250 0.250 0.746
0.420 0.085 0.255
0.580 0.915 0.745
0.750 0.750 0.254
0.915 0.580 0.745
```

Summary:
ΔH_f (0 K), eV per formula unit: -12.63

=====

No. 5
The following is a PBE calculation of crystalline NaMn3Br at its relaxed geometry, from the Alexandria database.

Cell and atoms, written as POSCAR:
```
NaMn3Br
1.0
5.360 0.000 0.000
0.000 5.360 0.000
0.000 0.000 5.360
Na Mn Br
1 3 1
Direct
0.000 0.000 0.000
0.000 0.000 0.500
0.000 0.500 0.000
0.500 0.000 0.000
0.500 0.500 0.500
```

Summary:
Polymorph energy (0 for the lowest one), meV per atom: 481
Energy relative to the elements, uncorrected, eV/atom: 1.500

=====

No. 6
The following is a PBE calculation of crystalline Pu2FeRe at its relaxed geometry, from the Alexandria database.

Cell and atoms, written as POSCAR:
```
Pu2FeRe
1.0
3.296 0.000 0.000
0.000 3.296 0.000
0.000 0.000 6.917
Pu Fe Re
2 1 1
Direct
0.000 0.000 0.244
0.000 0.000 0.756
0.500 0.500 0.000
0.500 0.500 0.500
```

Summary:
Polymorph energy (0 for the lowest one), meV per atom: 0
ΔH_f (0 K), eV per formula unit: 0.68